No. 1
Computed, not measured: a relaxed structure of La2TiNiS5 at the PBE level of DFT.

Properties
For the mass density, the calculation gives 4.977 g/cm³. As for the magnetization: 0.00 μB/f.u. The value obtained for the uncorrected formation energy is -1673 meV per atom.

Lattice parameters (Å, degrees): 3.807 16.684 11.446 90.00 90.00 90.00
Space group Cmc2_1 (No. 36)
One atom of each set of equivalent atoms:
1 La 0.000 0.116 0.000 [4 per cell]
2 La 0.000 0.126 0.621 [4 per cell]
3 Ti 0.000 0.185 0.316 [4 per cell]
4 Ni 0.000 0.425 0.748 [4 per cell]
5 S 0.000 0.048 0.349 [4 per cell]
6 S 0.000 0.294 0.965 [4 per cell]
7 S 0.000 0.304 0.671 [4 per cell]
8 S 0.000 0.345 0.313 [4 per cell]
9 S 0.000 0.500 0.085 [4 per cell]

***

No. 2
Computed, not measured: a relaxed structure of LaUNiS4 at the PBE level of DFT.

Properties
For the mass density, the calculation gives 6.634 g/cm³. As for the magnetization: 1.46 μB/f.u. The value obtained for the uncorrected formation energy is -1427 meV per atom.

Lattice parameters (Å, degrees): 6.323 5.918 7.900 90.00 107.25 90.00
Space group P2_1/m (No. 11)
One atom of each set of equivalent atoms:
1 La 0.244 0.250 0.438 [2 per cell]
2 U 0.260 0.250 0.944 [2 per cell]
3 Ni 0.264 0.750 0.176 [2 per cell]
4 S 0.066 0.750 0.900 [2 per cell]
5 S 0.070 0.750 0.370 [2 per cell]
6 S 0.480 0.512 0.762 [4 per cell]

***

No. 3
Computed, not measured: a relaxed structure of LaU4Ni3S12 at the PBE level of DFT.

Properties
For the mass density, the calculation gives 6.215 g/cm³. As for the magnetization: 8.70 μB/f.u. The value obtained for the uncorrected formation energy is -1012 meV per atom.

Lattice parameters (Å, degrees): 9.593 9.593 9.593 90.00 90.00 90.00
Space group Im-3 (No. 204)
One atom of each set of equivalent atoms:
1 La 0.000 0.000 0.000 [2 per cell]
2 U 0.250 0.250 0.250 [8 per cell]
3 Ni 0.000 0.000 0.500 [6 per cell]
4 S 0.000 0.153 0.315 [24 per cell]

***

No. 4
Computed, not measured: a relaxed structure of La2ZrNiS5 at the PBE level of DFT.

Properties
For the mass density, the calculation gives 5.211 g/cm³. As for the magnetization: 0.00 μB/f.u. The value obtained for the uncorrected formation energy is -1751 meV per atom.

Lattice parameters (Å, degrees): 3.849 16.524 11.785 90.00 90.00 90.00
Space group Cmc2_1 (No. 36)
One atom of each set of equivalent atoms:
1 La 0.000 0.117 0.000 [4 per cell]
2 La 0.000 0.120 0.360 [4 per cell]
3 Zr 0.000 0.178 0.680 [4 per cell]
4 Ni 0.000 0.433 0.092 [4 per cell]
5 S 0.000 0.028 0.686 [4 per cell]
6 S 0.000 0.304 0.337 [4 per cell]
7 S 0.000 0.306 0.029 [4 per cell]
8 S 0.000 0.342 0.680 [4 per cell]
9 S 0.000 0.500 0.426 [4 per cell]

***

No. 5
Computed, not measured: a relaxed structure of LaNi2Sb at the PBE level of DFT.

Properties
For the mass density, the calculation gives 8.149 g/cm³. As for the magnetization: 0.00 μB/f.u. The value obtained for the uncorrected formation energy is -242 meV per atom.

Lattice parameters (Å, degrees): 3.629 4.615 4.600 90.00 90.45 90.00
Space group P2/m (No. 10)
One atom of each set of equivalent atoms:
1 La 0.000 0.000 0.000 [1 per cell]
2 Ni 0.500 0.000 0.500 [1 per cell]
3 Ni 0.500 0.500 0.000 [1 per cell]
4 Sb 0.000 0.500 0.500 [1 per cell]

***

No. 6
Computed, not measured: a relaxed structure of La2NiSb at the PBE level of DFT.

Properties
For the mass density, the calculation gives 6.178 g/cm³. As for the magnetization: 0.98 μB/f.u. The value obtained for the uncorrected formation energy is -535 meV per atom.

Lattice parameters (Å, degrees): 4.3090 4.3090 22.9789 90.00 90.00 120.00
Space group R3m (No. 160, hexagonal axes)
One atom of each set of equivalent atoms:
1 La 0.0000 0.0000 0.0000 [3 per cell]
2 La 0.0000 0.0000 0.1831 [3 per cell]
3 Ni 0.0000 0.0000 0.4431 [3 per cell]
4 Sb 0.0000 0.0000 0.7539 [3 per cell]

***

No. 7
Computed, not measured: a relaxed structure of LaNiSb2 at the PBE level of DFT.

Properties
For the mass density, the calculation gives 7.418 g/cm³. As for the magnetization: 0.00 μB/f.u. The value obtained for the uncorrected formation energy is -766 meV per atom.

Lattice parameters (Å, degrees): 4.456 4.456 19.890 90.00 90.00 90.00
Space group I4/mmm (No. 139)
One atom of each set of equivalent atoms:
1 La 0.000 0.000 0.129 [4 per cell]
2 Ni 0.000 0.500 0.250 [4 per cell]
3 Sb 0.000 0.000 0.314 [4 per cell]
4 Sb 0.000 0.500 0.000 [4 per cell]

***

No. 8
Computed, not measured: a relaxed structure of LaNiSb2 at the PBE level of DFT.

Properties
For the mass density, the calculation gives 7.368 g/cm³. As for the magnetization: 0.00 μB/f.u. The value obtained for the uncorrected formation energy is -526 meV per atom.

Lattice parameters (Å, degrees): 4.1553 4.1553 19.9460 90.00 90.00 120.00
Space group R3m (No. 160, hexagonal axes)
One atom of each set of equivalent atoms:
1 La 0.0000 0.0000 0.0000 [3 per cell]
2 Ni 0.0000 0.0000 0.1772 [3 per cell]
3 Sb 0.0000 0.0000 0.5619 [3 per cell]
4 Sb 0.0000 0.0000 0.7807 [3 per cell]

***

No. 9
Computed, not measured: a relaxed structure of LaNiSb2 at the PBE level of DFT.

Properties
For the mass density, the calculation gives 7.415 g/cm³. As for the magnetization: 0.41 μB/f.u. The value obtained for the uncorrected formation energy is -223 meV per atom.

Lattice parameters (Å, degrees): 4.338 4.338 10.500 90.00 90.00 90.00
Space group I4/mmm (No. 139)
One atom of each set of equivalent atoms:
1 La 0.000 0.000 0.000 [2 per cell]
2 Ni 0.000 0.000 0.500 [2 per cell]
3 Sb 0.000 0.500 0.250 [4 per cell]

***

No. 10
Computed, not measured: a relaxed structure of La2NiSb at the PBE level of DFT.

Properties
For the mass density, the calculation gives 7.126 g/cm³. As for the magnetization: 0.00 μB/f.u. The value obtained for the uncorrected formation energy is -566 meV per atom.

Lattice parameters (Å, degrees): 3.829 3.863 7.219 90.00 90.00 90.00
Space group Pmmm (No. 47)
One atom of each set of equivalent atoms:
1 La 0.000 0.000 0.231 [2 per cell]
2 Ni 0.500 0.500 0.000 [1 per cell]
3 Sb 0.500 0.500 0.500 [1 per cell]

***

No. 11
Computed, not measured: a relaxed structure of LaNi2Sb at the PBE level of DFT.

Properties
For the mass density, the calculation gives 7.798 g/cm³. As for the magnetization: 0.00 μB/f.u. The value obtained for the uncorrected formation energy is -104 meV per atom.

Lattice parameters (Å, degrees): 4.149 4.149 9.355 90.00 90.00 90.00
Space group I-4m2 (No. 119)
One atom of each set of equivalent atoms:
1 La 0.000 0.000 0.000 [2 per cell]
2 Ni 0.000 0.000 0.500 [2 per cell]
3 Ni 0.000 0.500 0.750 [2 per cell]
4 Sb 0.000 0.500 0.250 [2 per cell]

***

No. 12
Computed, not measured: a relaxed structure of La2NiSb at the PBE level of DFT.

Properties
For the mass density, the calculation gives 7.109 g/cm³. As for the magnetization: 0.00 μB/f.u. The value obtained for the uncorrected formation energy is -571 meV per atom.

Lattice parameters (Å, degrees): 4.983 5.737 7.489 90.00 90.00 90.00
Space group Cmmm (No. 65)
One atom of each set of equivalent atoms:
1 La 0.000 0.000 0.223 [4 per cell]
2 Ni 0.000 0.500 0.000 [2 per cell]
3 Sb 0.000 0.500 0.500 [2 per cell]